The following is a PBE calculation of crystalline SiRuPt at its relaxed geometry, from the Alexandria database.

Formation energy without anion corrections: 33 meV/atom
Crystal system: cubic
ΔE to the lowest computed polymorph: 1.70 eV/f.u.
Space-group type: No. 216
VASP energy: -6.880 eV per atom

abc: 4.1470 4.1470 4.1470
angles: 60.00 60.00 60.00
Closest atoms and distances in Å follow each position.
Atoms (fractional coordinates):
1 Pt 0.5000 0.5000 0.5000  4 Ru 2.54
2 Ru 0.7500 0.7500 0.7500  4 Pt 2.54, 4 Si 2.54
3 Si 0.0000 0.0000 0.0000  4 Ru 2.54

---

The following is a PBE calculation of crystalline LaPr3Sm6Ho2 at its relaxed geometry, from the Alexandria database.

Crystal system: monoclinic
DFT formation energy: 19 meV per atom
Space-group type: No. 12
VASP energy: -4.709 eV per atom

abc: 6.3108 6.3108 12.1073
angles: 94.99 94.99 119.99
Closest atoms and distances in Å follow each position.
Atoms (fractional coordinates):
1 La 0.0000 0.0000 0.0000  6 Sm 3.63, 6 Ho 3.64
2 Pr 0.1672 0.8328 0.5000  6 Pr 3.64-3.65, 6 Sm 3.67-3.68
3 Pr 0.8328 0.1672 0.5000  6 Pr 3.64-3.65, 6 Sm 3.67-3.68
4 Pr 0.5000 0.5000 0.5000  6 Pr 3.64-3.65, 6 Sm 3.67-3.68
5 Sm 0.9174 0.5826 0.7528  2 Ho 3.62, 1 La 3.63, 6 Sm 3.64-3.66, 3 Pr 3.67-3.68
6 Sm 0.7480 0.7480 0.2475  2 Ho 3.62, 1 La 3.63, 6 Sm 3.64-3.66, 3 Pr 3.67-3.68
7 Sm 0.0826 0.4174 0.2472  2 Ho 3.62, 1 La 3.63, 6 Sm 3.64-3.66, 3 Pr 3.67-3.68
8 Sm 0.5826 0.9174 0.7528  2 Ho 3.62, 1 La 3.63, 6 Sm 3.64-3.66, 3 Pr 3.67-3.68
9 Sm 0.2520 0.2520 0.7525  2 Ho 3.62, 1 La 3.63, 6 Sm 3.64-3.66, 3 Pr 3.67-3.68
10 Sm 0.4174 0.0826 0.2472  2 Ho 3.62, 1 La 3.63, 6 Sm 3.64-3.66, 3 Pr 3.67-3.68
11 Ho 0.3334 0.6666 0.0000  6 Sm 3.62, 3 Ho 3.64, 3 La 3.64
12 Ho 0.6666 0.3334 0.0000  6 Sm 3.62, 3 Ho 3.64, 3 La 3.64